A plane-wave DFT calculation with PBE+U was carried out for an optimized crystal structure of NbMoN2F.

Computed properties:
**Energy**: -34.32 eV/cell
**Magnetization**: 4.0 μB per formula unit

abc: 4.084 4.084 3.953
angles: 90.00 90.00 90.00
Space group P4/mmm (No. 123)
Inequivalent atoms, fractional coordinates:
Nb 0.000 0.000 0.000 [1 per cell]
Mo 0.500 0.500 0.500 [1 per cell]
N 0.000 0.500 0.500 [2 per cell]
F 0.500 0.500 0.000 [1 per cell]